(1)
# DyCd3Hg4 (PBE, relaxed)
# formation energy from the elements = -0.17 eV per atom
data_DyCd3Hg4
_symmetry_space_group_name_H-M 'P 4/m m m'
_symmetry_Int_Tables_number 123
_symmetry_space_group_name_Hall '-P 4 2'
_cell_length_a 4.780
_cell_length_b 4.780
_cell_length_c 8.237
_cell_angle_alpha 90.00
_cell_angle_beta 90.00
_cell_angle_gamma 90.00
loop_
_atom_site_label
_atom_site_type_symbol
_atom_site_fract_x
_atom_site_fract_y
_atom_site_fract_z
Dy1 Dy 0.000 0.000 0.000
Cd1 Cd 0.000 0.000 0.500
Cd2 Cd 0.500 0.500 0.000
Cd3 Cd 0.500 0.500 0.500
Hg1 Hg 0.000 0.500 0.254

---

(2)
# EuIn2I4 (PBE, relaxed)
# ΔE_f (raw) = -855 meV per atom
data_EuIn2I4
_symmetry_space_group_name_H-M 'I 4/m m m'
_symmetry_Int_Tables_number 139
_symmetry_space_group_name_Hall '-I 4 2'
_cell_length_a 6.418
_cell_length_b 6.418
_cell_length_c 16.750
_cell_angle_alpha 90.00
_cell_angle_beta 90.00
_cell_angle_gamma 90.00
loop_
_atom_site_label
_atom_site_type_symbol
_atom_site_fract_x
_atom_site_fract_y
_atom_site_fract_z
Eu1 Eu 0.000 0.000 0.000
In1 In 0.000 0.000 0.376
I1 I 0.000 0.000 0.189
I2 I 0.000 0.500 0.000

---

(3)
# LiPmTl (PBE, relaxed)
# formation energy from the elements = -0.15 eV per atom
# offset from the most stable computed form = 132 meV/atom
data_LiPmTl
_symmetry_space_group_name_H-M 'I 4 m m'
_symmetry_Int_Tables_number 107
_symmetry_space_group_name_Hall 'I 4 -2'
_cell_length_a 3.675
_cell_length_b 3.675
_cell_length_c 11.381
_cell_angle_alpha 90.00
_cell_angle_beta 90.00
_cell_angle_gamma 90.00
loop_
_atom_site_label
_atom_site_type_symbol
_atom_site_fract_x
_atom_site_fract_y
_atom_site_fract_z
Li1 Li 0.000 0.000 0.000
Pm1 Pm 0.000 0.000 0.696
Tl1 Tl 0.000 0.000 0.385

---

(4)
# VBi2Pd9 (PBE, relaxed)
# formation energy from the elements = -0.22 eV per atom
data_VBi2Pd9
_symmetry_space_group_name_H-M 'P 4/m m m'
_symmetry_Int_Tables_number 123
_symmetry_space_group_name_Hall '-P 4 2'
_cell_length_a 4.055
_cell_length_b 4.055
_cell_length_c 12.230
_cell_angle_alpha 90.00
_cell_angle_beta 90.00
_cell_angle_gamma 90.00
loop_
_atom_site_label
_atom_site_type_symbol
_atom_site_fract_x
_atom_site_fract_y
_atom_site_fract_z
V1 V 0.000 0.000 0.000
Bi1 Bi 0.000 0.000 0.326
Pd1 Pd 0.000 0.500 0.151
Pd2 Pd 0.000 0.500 0.500
Pd3 Pd 0.500 0.500 0.000
Pd4 Pd 0.500 0.500 0.327

---

(5)
# Nd3Sm6Y2Tm (PBE, relaxed)
# formation energy from the elements = 0.02 eV per atom
data_Nd3Sm6Y2Tm
_symmetry_space_group_name_H-M 'C 1 2/m 1'
_symmetry_Int_Tables_number 12
_cell_length_a 6.279
_cell_length_b 10.876
_cell_length_c 11.989
_cell_angle_alpha 90.00
_cell_angle_beta 100.04
_cell_angle_gamma 90.00
loop_
_symmetry_equiv_pos_as_xyz
'x,y,z'
'-x,-y,-z'
'-x,y,-z'
'x,-y,z'
'x+1/2,y+1/2,z'
'-x+1/2,-y+1/2,-z'
'-x+1/2,y+1/2,-z'
'x+1/2,-y+1/2,z'
loop_
_atom_site_label
_atom_site_type_symbol
_atom_site_fract_x
_atom_site_fract_y
_atom_site_fract_z
Nd1 Nd 0.000 0.000 0.000
Nd2 Nd 0.000 0.333 0.000
Sm1 Sm 0.248 0.334 0.746
Sm2 Sm 0.250 0.000 0.746
Y1 Y 0.000 0.167 0.500
Tm1 Tm 0.000 0.500 0.500

---

(6)
# YErTlAg (PBE, relaxed)
# formation energy from the elements = -0.35 eV per atom
data_YErTlAg
_symmetry_space_group_name_H-M 'F -4 3 m'
_symmetry_Int_Tables_number 216
_symmetry_space_group_name_Hall 'F -4 2 3'
_cell_length_a 7.418
_cell_length_b 7.418
_cell_length_c 7.418
_cell_angle_alpha 90.00
_cell_angle_beta 90.00
_cell_angle_gamma 90.00
loop_
_atom_site_label
_atom_site_type_symbol
_atom_site_fract_x
_atom_site_fract_y
_atom_site_fract_z
Y1 Y 0.000 0.000 0.000
Er1 Er 0.000 0.000 0.500
Tl1 Tl 0.250 0.250 0.750
Ag1 Ag 0.250 0.250 0.250